DFT (PBE+U) results for an optimized crystal structure of VGaMoO6.

Geometry as POSCAR:
```
VGaMoO6
1.0
-2.190 1.158 3.851
2.315 -3.223 2.285
6.666 6.162 1.937
V Ga Mo O
2 2 2 12
Direct
0.500 0.500 0.169
0.000 0.000 0.669
0.500 0.500 0.833
0.000 0.000 0.333
0.500 0.500 0.498
0.000 0.000 0.998
0.199 0.801 0.502
0.801 0.199 0.502
0.301 0.301 0.002
0.699 0.699 0.002
0.204 0.796 0.167
0.796 0.204 0.167
0.296 0.296 0.667
0.704 0.704 0.667
0.805 0.195 0.831
0.195 0.805 0.831
0.695 0.695 0.331
0.305 0.305 0.331
```

Values from the calculation:
As for the space-group type: P4_2nm (102). The calculated volume is 194.6 Å³ per cell. The calculation puts the total energy at -7.07 eV per atom.